(1)
Here is a relaxed Na3U2CuTe6 crystal from Alexandria. Energies are from GGA-PBE.

Geometry as extended XYZ:
```
12
Lattice="-5.2992 -5.1329 -1.5561 5.0970 -1.3541 5.3885 -4.4684 5.3136 3.7979" Properties=species:S:1:pos:R:3 pbc="T T T"
Na -5.7585 -1.8310 1.5284
Te -3.5074 2.5038 3.8881
Te -2.7270 -0.9493 0.6347
U 1.6262 -2.6157 3.0700
U -1.8283 -3.8714 0.7624
Na -2.3353 -0.5868 3.8152
Te -1.9435 -0.2242 6.9956
Te -5.2990 -1.4439 4.7542
Te 0.6285 0.2704 2.8761
Te -1.1631 -3.6773 3.7422
Na 1.0880 0.6575 6.1019
Cu 0.0000 0.0000 0.0000
```

Computed properties:
Total magnetization, μB/f.u.: 4.00
Formation energy without anion corrections, eV/atom: -0.645
Calculated total energy, eV per atom: -4.7682
Space-group type: C2/m (12)
N(E_F), states/eV per cell: 12.6

(2)
Here is a relaxed FeIr2Se crystal from Alexandria. Energies are from GGA-PBE.

Geometry as extended XYZ:
```
4
Lattice="-2.5145 -1.2517 -0.2721 1.9729 -4.1553 0.8830 -0.7642 0.5754 4.4151" Properties=species:S:1:pos:R:3 pbc="T T T"
Fe 0.6044 -1.7900 2.6491
Ir 0.0000 0.0000 0.0000
Ir -0.2708 -2.7035 0.3055
Se -1.6394 -0.3382 2.0715
```

Computed properties:
Total magnetization, μB/f.u.: 3.31
Formation energy without anion corrections, eV/atom: 0.379
Calculated total energy, eV per atom: -7.0387
Space-group type: Pmmm (47)
N(E_F), states/eV per cell: 4.1

(3)
Here is a relaxed TiSnTe crystal from Alexandria. Energies are from GGA-PBE.

Geometry as extended XYZ:
```
6
Lattice="4.7549 0.0000 0.0000 0.0000 5.7065 -0.4895 -2.3775 -0.9841 5.9385" Properties=species:S:1:pos:R:3 pbc="T T T"
Sn 0.0000 1.6795 1.9227
Ti 2.3775 0.1659 3.5268
Te 0.0000 0.1825 4.8589
Sn 2.3775 3.0429 3.5263
Ti 0.0000 4.5565 1.9222
Te 2.3775 4.5399 0.5901
```

Computed properties:
Total magnetization, μB/f.u.: 0.00
Formation energy without anion corrections, eV/atom: -0.264
Calculated total energy, eV per atom: -5.2770
Space-group type: C2/m (12)
N(E_F), states/eV per cell: 5.5

(4)
Here is a relaxed MgIn2Ru crystal from Alexandria. Energies are from GGA-PBE.

Geometry as extended XYZ:
```
4
Lattice="-1.1684 4.3353 -0.2507 -1.6260 2.1039 3.6267 3.6961 3.4691 2.4328" Properties=species:S:1:pos:R:3 pbc="T T T"
In -0.0945 2.3856 1.3618
Mg 0.5611 4.9857 2.9355
Ru 1.6920 7.7216 4.6436
In 2.8899 3.2387 2.2050
```

Computed properties:
Total magnetization, μB/f.u.: 0.00
Calculated total energy, eV per atom: -4.0150
Space-group type: R3m (160)
N(E_F), states/eV per cell: 2.0
Formation energy, eV per atom: 0.07

> Number 4 is which compound?

MgIn2Ru